No. 1
The following is a PBE calculation of a relaxed Ac4Os crystal, from OQMD.

Properties
The total energy comes out at -5.5658 eV per atom. The calculation puts the formation energy at -0.036 eV/atom.

a = 8.3647 Å, b = 8.1160 Å, c = 10.0602 Å
α = 53.51°, β = 51.27°, γ = 75.22°
Last column: nearest neighbours and their distance in Å.
Positions (direct):
Ac: 0.2741 0.1895 0.0588  2 Os 2.97-2.98
Ac: 0.7724 0.1912 0.0605  2 Os 2.97-2.98
Ac: 0.1895 0.2741 0.4776  2 Os 2.97-2.98
Ac: 0.6776 0.2789 0.4801  1 Os 2.89
Ac: 0.2789 0.6776 0.5634  1 Os 2.89
Ac: 0.7699 0.6866 0.5724  1 Os 2.89
Ac: 0.6866 0.7699 0.9711  1 Os 2.89
Ac: 0.1912 0.7724 0.9759  2 Os 2.97-2.98
Os: 0.4819 0.4819 0.0181  6 Ac 2.89-2.98
Os: 0.2319 0.2319 0.7681  6 Ac 2.89-2.98



No. 2
The following is a PBE calculation of a relaxed AcOsPb crystal, from OQMD.

Properties
The total energy comes out at -5.4872 eV per atom.

a = 5.0418 Å, b = 5.0418 Å, c = 5.0418 Å
α = 60.00°, β = 60.00°, γ = 60.00°
Last column: nearest neighbours and their distance in Å.
Positions (direct):
Ac: 0.2500 0.2500 0.2500  4 Pb 3.09
Os: 0.7500 0.7500 0.7500  4 Pb 3.09
Pb: 0.0000 0.0000 0.0000  4 Ac 3.09, 4 Os 3.09



No. 3
The following is a PBE calculation of a relaxed AcOsPd crystal, from OQMD.

Properties
The total energy comes out at -6.3071 eV per atom. The calculation puts the formation energy at 0.529 eV/atom.

a = 4.7477 Å, b = 4.7477 Å, c = 4.7477 Å
α = 60.00°, β = 60.00°, γ = 60.00°
Last column: nearest neighbours and their distance in Å.
Positions (direct):
Ac: 0.2500 0.2500 0.2500  4 Pd 2.91
Os: 0.7500 0.7500 0.7500  4 Pd 2.91
Pd: 0.0000 0.0000 0.0000  4 Ac 2.91, 4 Os 2.91



No. 4
The following is a PBE calculation of a relaxed RbAcOs crystal, from OQMD.

Properties
The total energy comes out at -4.4283 eV per atom. The value obtained for the energy relative to the lowest polymorph listed for this composition is 0.0 kJ/mol of atoms.

a = 5.1650 Å, b = 5.1650 Å, c = 5.1650 Å
α = 60.00°, β = 60.00°, γ = 60.00°
Last column: nearest neighbours and their distance in Å.
Positions (direct):
Ac: 0.2500 0.2500 0.2500  4 Os 3.16
Os: 0.0000 0.0000 0.0000  4 Rb 3.16, 4 Ac 3.16
Rb: 0.7500 0.7500 0.7500  4 Os 3.16



No. 5
The following is a PBE calculation of a relaxed AcSiOs crystal, from OQMD.

Properties
The total energy comes out at -6.3981 eV per atom. The value obtained for the energy relative to the lowest polymorph listed for this composition is 104.6 kJ/mol of atoms.

a = 4.6754 Å, b = 4.6754 Å, c = 4.6754 Å
α = 60.00°, β = 60.00°, γ = 60.00°
Last column: nearest neighbours and their distance in Å.
Positions (direct):
Ac: 0.2500 0.2500 0.2500  4 Si 2.86
Os: 0.7500 0.7500 0.7500  4 Si 2.86
Si: 0.0000 0.0000 0.0000  4 Os 2.86, 4 Ac 2.86



No. 6
The following is a PBE calculation of a relaxed AcSiOs crystal, from OQMD.

Properties
The total energy comes out at -7.4825 eV per atom. The value obtained for the energy relative to the lowest polymorph listed for this composition is 0.0 kJ/mol of atoms.

a = 4.2948 Å, b = 4.2948 Å, c = 7.6308 Å
α = 90.00°, β = 90.00°, γ = 90.00°
Last column: nearest neighbours and their distance in Å.
Positions (direct):
Ac: 0.0000 0.5000 0.1859  4 Os 3.22, 5 Si 3.27-3.58
Ac: 0.5000 0.0000 0.8141  4 Os 3.22, 5 Si 3.27-3.58
Os: 0.0000 0.0000 0.5000  4 Si 2.45
Os: 0.5000 0.5000 0.5000  4 Si 2.45
Si: 0.5000 0.0000 0.3455  4 Os 2.45
Si: 0.0000 0.5000 0.6545  4 Os 2.45